K2TcBr after structural relaxation, computed with PBE.

Cell lengths 7.8851, 9.2598, 3.5509 Å; angles 90.00, 90.00, 90.00 degrees
Space group Cmmm (No. 65)
Unique sites:
K  0.2500  0.2500  0.0000 x4
Tc  0.0000  0.0000  0.5000 x2
Br  0.0000  0.5000  0.5000 x2

## Properties
Formation energy from raw total energies = 451 meV per atom
Fermi-level density of states = 6.5 states/eV/cell
M_tot = 3.55 μB per formula unit
Polymorph energy (0 for the lowest one) = 12.2 kJ/mol of atoms
Final energy = -3.1072 eV/atom
Crystal system = orthorhombic

=====

KCdSe2Br after structural relaxation, computed with PBE.

Cell lengths 5.2585, 5.2585, 5.9757 Å; angles 90.00, 90.00, 90.00 degrees
Space group P4/mmm (No. 123)
Unique sites:
K  0.0000  0.0000  0.0000 x1
Cd  0.5000  0.5000  0.5000 x1
Se  0.0000  0.5000  0.5000 x2
Br  0.5000  0.5000  0.0000 x1

## Properties
Formation energy from raw total energies = -438 meV per atom
Fermi-level density of states = 6.9 states/eV/cell
M_tot = 0.99 μB per formula unit
Polymorph energy (0 for the lowest one) = 0.0 kJ/mol of atoms
Final energy = -2.5686 eV/atom
Crystal system = tetragonal

=====

Er3MgTl4Te8 after structural relaxation, computed with PBE.

Cell lengths 8.8173, 8.8173, 24.0500 Å; angles 90.00, 90.00, 120.00 degrees
Space group R-3m (No. 166, hexagonal axes)
Unique sites:
Er  0.0000  0.5000  0.0000 x9
Mg  0.0000  0.0000  0.0000 x3
Tl  0.0000  0.0000  0.5000 x3
Tl  0.0000  0.5000  0.5000 x9
Te  0.0000  0.0000  0.2616 x6
Te  0.0046  0.5023  0.7366 x18

## Properties
Formation energy from raw total energies = -893 meV per atom
Fermi-level density of states = 20.0 states/eV/cell
M_tot = 0.00 μB per formula unit
Final energy = -4.0106 eV/atom
Crystal system = trigonal

=====

La5Y2Tm4 after structural relaxation, computed with PBE.

Cell lengths 3.5441, 9.1625, 23.8676 Å; angles 90.00, 90.00, 90.00 degrees
Space group Immm (No. 71)
Unique sites:
La  0.0000  0.0000  0.0000 x2
La  0.0000  0.3016  0.3556 x8
Y  0.0000  0.5000  0.2305 x4
Tm  0.0000  0.1805  0.5000 x4
Tm  0.0000  0.5000  0.0958 x4

## Properties
Fermi-level density of states = 37.9 states/eV/cell
M_tot = 0.00 μB per formula unit
Formation energy from the elements = 0.172 eV/atom
Polymorph energy (0 for the lowest one) = 9.0 kJ/mol of atoms
Final energy = -4.8693 eV/atom
Crystal system = orthorhombic